VASP calculation (PBE) on crystalline SmTh4 at its relaxed geometry.

ΔH_f (0 K): 4.88 eV per formula unit
E: -29.5 eV for the cell shown
Magnetization: 0.00 Bohr magnetons per cell

Cell: 5.7158 5.7158 5.7158 Å, 90.00 90.00 90.00°
With the nearest neighbours (Å) after each atom.
Sites, in units of the cell vectors:
1 Sm 0.0000 0.0000 0.0000  6 Th 2.86
2 Th 0.0000 0.0000 0.5000  2 Sm 2.86
3 Th 0.0000 0.5000 0.0000  2 Sm 2.86
4 Th 0.5000 0.0000 0.0000  2 Sm 2.86
5 Th 0.5000 0.5000 0.5000  12 Th 4.04